1.
A plane-wave DFT calculation with PBE was carried out for a relaxed structure of Sm2Ru2C3.

Cell: 11.6185 3.4773 5.7177 Å, 90.00 114.99 90.00°
Space group C2/m (No. 12)
Unique sites:
Sm 0.1071 0.0000 0.3187 [4 per cell]
Ru 0.1601 0.5000 0.8214 [4 per cell]
C 0.0000 0.5000 0.5000 [2 per cell]
C 0.2479 0.0000 0.7772 [4 per cell]

Values from the calculation:
N(E_F), states/eV/atom: 0.58
Final energy, eV/cell: -113.8
Formation enthalpy at 0 K, eV per atom: -0.176

***

2.
A plane-wave DFT calculation with PBE was carried out for a relaxed structure of SmRu2C2.

Cell: 3.7873 3.7873 9.8861 Å, 90.00 90.00 90.00°
Space group I4/mmm (No. 139)
Unique sites:
Sm 0.0000 0.0000 0.0000 [2 per cell]
Ru 0.0000 0.5000 0.2500 [4 per cell]
C 0.0000 0.0000 0.3391 [4 per cell]

Values from the calculation:
N(E_F), states/eV/atom: 0.43
Final energy, eV/cell: -83.0
Formation enthalpy at 0 K, eV per atom: 0.043

***

3.
A plane-wave DFT calculation with PBE was carried out for a relaxed structure of SmRuC2.

Cell: 3.8580 4.7567 6.2496 Å, 90.00 90.00 90.00°
Space group Amm2 (No. 38)
Unique sites:
Sm 0.0000 0.0000 0.0000 [2 per cell]
Ru 0.5000 0.0000 0.3854 [2 per cell]
C 0.5000 0.1465 0.7070 [4 per cell]

Values from the calculation:
N(E_F), states/eV/atom: 0.47
Final energy, eV/cell: -66.0
Energy relative to the lowest polymorph listed for this composition, kJ per mole of atoms: 3.5
Formation enthalpy at 0 K, eV per atom: -0.138

***

4.
A plane-wave DFT calculation with PBE was carried out for a relaxed structure of SmRuC2.

Cell: 4.3731 9.4563 5.2934 Å, 90.00 90.00 90.00°
Space group Cmcm (No. 63)
Unique sites:
Sm 0.0000 0.1843 0.2500 [4 per cell]
Ru 0.0000 0.5000 0.0000 [4 per cell]
C 0.1572 0.0813 0.7500 [8 per cell]

Values from the calculation:
N(E_F), states/eV/atom: 0.71
Final energy, eV/cell: -132.6
Energy relative to the lowest polymorph listed for this composition, kJ per mole of atoms: 0.0
Formation enthalpy at 0 K, eV per atom: -0.174

***

5.
A plane-wave DFT calculation with PBE was carried out for a relaxed structure of Sm3Sn2Ru3C.

Cell: 7.5696 7.5696 3.6684 Å, 90.00 90.00 120.00°
Space group P-62m (No. 189)
Unique sites:
Sm 0.0000 0.6502 0.0000 [3 per cell]
Sn 0.3333 0.6667 0.5000 [2 per cell]
Ru 0.0000 0.2073 0.5000 [3 per cell]
C 0.0000 0.0000 0.0000 [1 per cell]

Values from the calculation:
N(E_F), states/eV/atom: 0.40
Final energy, eV/cell: -60.6
Formation enthalpy at 0 K, eV per atom: -0.156

***

6.
A plane-wave DFT calculation with PBE was carried out for a relaxed structure of Sm2TlRuC.

Cell: 5.2138 5.2138 3.9520 Å, 90.00 90.00 90.00°
Space group P4/mmm (No. 123)
Unique sites:
Sm 0.0000 0.5000 0.0000 [2 per cell]
Tl 0.0000 0.0000 0.5000 [1 per cell]
Ru 0.5000 0.5000 0.5000 [1 per cell]
C 0.5000 0.5000 0.0000 [1 per cell]

Values from the calculation:
N(E_F), states/eV/atom: 0.61
Final energy, eV/cell: -31.8
Formation enthalpy at 0 K, eV per atom: -0.308

***

Number 1: M_tot 0.00 μB/cell. Number 2: M_tot 0.00 μB/cell. Number 3: M_tot 0.00 μB/cell. Number 4: M_tot 0.09 μB/cell. Number 5: M_tot 0.00 μB/cell. Number 6: M_tot 0.00 μB/cell.